Density functional theory data (PBE+U) for a geometry-optimized LiMn2B2O6 structure.

D(E_F): 3.6 states/eV/cell
Volume: 251.9 Å³ per cell
VASP energy: -7.50 eV per atom
Total magnetic moment: 18.000 μB per cell

a b c (Å): 5.8687 9.2325 5.2460
angles (deg): 91.88 111.71 105.37
Element x y z (fractional)
Mn: 0.7535 0.8776 0.2707
Mn: 0.2511 0.6044 0.2318
Mn: 0.7489 0.3956 0.7682
Mn: 0.2465 0.1224 0.7293
Li: 0.6661 0.1909 0.2552
Li: 0.3339 0.8091 0.7448
O: 0.3212 0.8190 0.1303
O: 0.1635 0.9215 0.4400
O: 0.6981 0.9255 0.8725
O: 0.8365 0.0785 0.5600
O: 0.7174 0.4038 0.3847
O: 0.2826 0.5962 0.6153
O: 0.3857 0.3598 0.7025
O: 0.6143 0.6402 0.2975
O: 0.1237 0.4349 0.8985
O: 0.6788 0.1810 0.8697
O: 0.3019 0.0745 0.1275
O: 0.8763 0.5651 0.1015
B: 0.7358 0.5341 0.2706
B: 0.2642 0.4659 0.7294
B: 0.2565 0.9403 0.2270
B: 0.7436 0.0597 0.7730